(1)
A plane-wave DFT calculation with PBE was carried out for crystalline BaBI2N at its relaxed geometry.

Output
* ΔE to the lowest computed polymorph: 1183 meV/atom

a b c (Å): 6.7989 6.7989 5.4075
angles (deg): 90.00 90.00 90.00
With the nearest neighbours (Å) after each atom.
Sites, in units of the cell vectors:
Ba1 0.0000 0.0000 0.0000  2 N 2.70
B1 0.5000 0.5000 0.5000  8 I 4.34, 4 N 4.81
I1 0.0000 0.5000 0.0000  2 Ba 3.40
I2 0.5000 0.0000 0.0000  2 Ba 3.40
N1 0.0000 0.0000 0.5000  2 Ba 2.70

(2)
A plane-wave DFT calculation with PBE was carried out for crystalline Ba2BOsI at its relaxed geometry.

Output
* energy: -3.23 eV/atom

a b c (Å): 6.4035 6.4035 4.5563
angles (deg): 90.00 90.00 90.00
With the nearest neighbours (Å) after each atom.
Sites, in units of the cell vectors:
Ba1 0.0000 0.5000 0.0000  2 I 3.20
Ba2 0.5000 0.0000 0.0000  2 I 3.20
B1 0.0000 0.0000 0.5000  2 I 2.28
Os1 0.5000 0.5000 0.5000  8 Ba 3.93
I1 0.0000 0.0000 0.0000  2 B 2.28

Please write out number 2 again, unchanged.
A plane-wave DFT calculation with PBE was carried out for crystalline Ba2BOsI at its relaxed geometry.

Output
* energy: -3.23 eV/atom

a b c (Å): 6.4035 6.4035 4.5563
angles (deg): 90.00 90.00 90.00
With the nearest neighbours (Å) after each atom.
Sites, in units of the cell vectors:
Ba1 0.0000 0.5000 0.0000  2 I 3.20
Ba2 0.5000 0.0000 0.0000  2 I 3.20
B1 0.0000 0.0000 0.5000  2 I 2.28
Os1 0.5000 0.5000 0.5000  8 Ba 3.93
I1 0.0000 0.0000 0.0000  2 B 2.28

- Which formula does entry 1 have?
  BaBI2N